No. 1
Hf2Co2W | PBE | optimized geometry

CIF file:
```
data_Hf2Co2W
_chemical_formula_sum 'Hf4 Co4 W2'
_symmetry_space_group_name_H-M 'I 4/m m m'
_symmetry_Int_Tables_number 139
_symmetry_space_group_name_Hall '-I 4 2'
_cell_length_a 3.293
_cell_length_b 3.293
_cell_length_c 15.609
_cell_angle_alpha 90.00
_cell_angle_beta 90.00
_cell_angle_gamma 90.00
loop_
_atom_site_label
_atom_site_type_symbol
_atom_site_fract_x
_atom_site_fract_y
_atom_site_fract_z
Hf1 Hf 0.000 0.000 0.106
Co1 Co 0.000 0.500 0.250
W1 W 0.000 0.000 0.500
```

Summary:
The value obtained for the excess energy over the best structure of this formula in the dataset is 0.348 eV/atom.


No. 2
Hf2Co2W | PBE | optimized geometry

CIF file:
```
data_Hf2Co2W
_chemical_formula_sum 'Hf4 Co4 W2'
_symmetry_space_group_name_H-M 'P 4/m b m'
_symmetry_Int_Tables_number 127
_symmetry_space_group_name_Hall '-P 4 2ab'
_cell_length_a 7.420
_cell_length_b 7.420
_cell_length_c 2.901
_cell_angle_alpha 90.00
_cell_angle_beta 90.00
_cell_angle_gamma 90.00
loop_
_atom_site_label
_atom_site_type_symbol
_atom_site_fract_x
_atom_site_fract_y
_atom_site_fract_z
Hf1 Hf 0.154 0.346 0.000
Co1 Co 0.146 0.646 0.500
W1 W 0.000 0.000 0.000
```

Summary:
The value obtained for the excess energy over the best structure of this formula in the dataset is 0.312 eV/atom.


No. 3
HfCo2W | PBE | optimized geometry

CIF file:
```
data_HfCo2W
_chemical_formula_sum 'Hf4 Co8 W4'
_symmetry_space_group_name_H-M 'I -4 2 d'
_symmetry_Int_Tables_number 122
_symmetry_space_group_name_Hall 'I -4 2bw'
_cell_length_a 4.019
_cell_length_b 4.019
_cell_length_c 16.202
_cell_angle_alpha 90.00
_cell_angle_beta 90.00
_cell_angle_gamma 90.00
loop_
_atom_site_label
_atom_site_type_symbol
_atom_site_fract_x
_atom_site_fract_y
_atom_site_fract_z
Hf1 Hf 0.000 0.000 0.000
Co1 Co 0.217 0.250 0.625
W1 W 0.000 0.000 0.500
```

Summary:
The value obtained for the excess energy over the best structure of this formula in the dataset is 0.664 eV/atom.


No. 4
HfCoW3 | PBE | optimized geometry

CIF file:
```
data_HfCoW3
_chemical_formula_sum 'Hf1 Co1 W3'
_symmetry_space_group_name_H-M 'P m -3 m'
_symmetry_Int_Tables_number 221
_symmetry_space_group_name_Hall '-P 4 2 3'
_cell_length_a 4.739
_cell_length_b 4.739
_cell_length_c 4.739
_cell_angle_alpha 90.00
_cell_angle_beta 90.00
_cell_angle_gamma 90.00
loop_
_atom_site_label
_atom_site_type_symbol
_atom_site_fract_x
_atom_site_fract_y
_atom_site_fract_z
Hf1 Hf 0.000 0.000 0.000
Co1 Co 0.500 0.500 0.500
W1 W 0.000 0.000 0.500
```

Summary:
The value obtained for the excess energy over the best structure of this formula in the dataset is 1.815 eV/atom.


No. 5
HfCoW2 | PBE | optimized geometry

CIF file:
```
data_HfCoW2
_chemical_formula_sum 'Hf4 Co4 W8'
_symmetry_space_group_name_H-M 'I -4 2 d'
_symmetry_Int_Tables_number 122
_symmetry_space_group_name_Hall 'I -4 2bw'
_cell_length_a 3.671
_cell_length_b 3.671
_cell_length_c 20.319
_cell_angle_alpha 90.00
_cell_angle_beta 90.00
_cell_angle_gamma 90.00
loop_
_atom_site_label
_atom_site_type_symbol
_atom_site_fract_x
_atom_site_fract_y
_atom_site_fract_z
Hf1 Hf 0.000 0.000 0.000
Co1 Co 0.000 0.000 0.500
W1 W 0.248 0.750 0.125
```

Summary:
The value obtained for the excess energy over the best structure of this formula in the dataset is 0.172 eV/atom.


No. 6
HfZn2CoW | PBE | optimized geometry

CIF file:
```
data_HfZn2CoW
_chemical_formula_sum 'Hf1 Zn2 Co1 W1'
_symmetry_space_group_name_H-M 'P 4/m m m'
_symmetry_Int_Tables_number 123
_symmetry_space_group_name_Hall '-P 4 2'
_cell_length_a 4.863
_cell_length_b 4.863
_cell_length_c 4.877
_cell_angle_alpha 90.00
_cell_angle_beta 90.00
_cell_angle_gamma 90.00
loop_
_atom_site_label
_atom_site_type_symbol
_atom_site_fract_x
_atom_site_fract_y
_atom_site_fract_z
Hf1 Hf 0.000 0.000 0.000
Zn1 Zn 0.000 0.500 0.500
Co1 Co 0.500 0.500 0.000
W1 W 0.000 0.000 0.500
```


No. 7
HfZrCo2W | PBE | optimized geometry

CIF file:
```
data_HfZrCo2W
_chemical_formula_sum 'Hf1 Zr1 Co2 W1'
_symmetry_space_group_name_H-M 'P 4/m m m'
_symmetry_Int_Tables_number 123
_symmetry_space_group_name_Hall '-P 4 2'
_cell_length_a 4.366
_cell_length_b 4.366
_cell_length_c 5.057
_cell_angle_alpha 90.00
_cell_angle_beta 90.00
_cell_angle_gamma 90.00
loop_
_atom_site_label
_atom_site_type_symbol
_atom_site_fract_x
_atom_site_fract_y
_atom_site_fract_z
Hf1 Hf 0.000 0.000 0.000
Zr1 Zr 0.000 0.000 0.500
Co1 Co 0.000 0.500 0.000
W1 W 0.500 0.500 0.500
```


No. 8
YHfCo3 | PBE | optimized geometry

CIF file:
```
data_YHfCo3
_chemical_formula_sum 'Y1 Hf1 Co3'
_symmetry_space_group_name_H-M 'P m -3 m'
_symmetry_Int_Tables_number 221
_symmetry_space_group_name_Hall '-P 4 2 3'
_cell_length_a 4.552
_cell_length_b 4.552
_cell_length_c 4.552
_cell_angle_alpha 90.00
_cell_angle_beta 90.00
_cell_angle_gamma 90.00
loop_
_atom_site_label
_atom_site_type_symbol
_atom_site_fract_x
_atom_site_fract_y
_atom_site_fract_z
Y1 Y 0.000 0.000 0.000
Hf1 Hf 0.500 0.500 0.500
Co1 Co 0.000 0.500 0.500
```

Summary:
The value obtained for the excess energy over the best structure of this formula in the dataset is 0.000 eV/atom.


no.,density (g/cm3),formation enthalpy at 0 K (eV per formula unit)
1,12.9,0.93
2,13.7,0.74
3,12.2,2.59
4,12.3,14.41
5,14.7,2.30
6,7.9,7.31
7,9.8,8.34
8,7.8,3.05